The following is a GGA+U calculation of crystalline GeMoPF2 at its relaxed geometry, from Alexandria.

Cell: 4.1380 4.1380 5.2670 Å, 90.00 90.00 90.00°
With the nearest neighbours (Å) after each atom.
Sites, in units of the cell vectors:
Ge 0.0000 0.0000 0.0000  4 P 2.93
Mo 0.5000 0.5000 0.5000  4 F 2.07
P 0.5000 0.5000 0.0000  2 Mo 2.63, 4 Ge 2.93
F 0.0000 0.5000 0.5000  2 Mo 2.07
F 0.5000 0.0000 0.5000  2 Mo 2.07

Summary:
Density of states at the Fermi level in states/eV per cell: 0.73
Volume in A^3/atom: 18.038
Total DFT energy (no corrections) in Ry per atom: -0.376